# Cu5Pd6

A relaxed structure of Cu5Pd6 (PBE-GGA, Alexandria via LeMat-Bulk).

Total magnetization = 0.0 Bohr magnetons per cell
Energy above the lowest structure with this stoichiometry = 0.014 eV/atom
Formation energy = 7 meV/atom
Volume = 14.346 A^3/atom

a = 6.2282 Å, b = 6.2282 Å, c = 4.5297 Å
α = 103.56°, β = 103.56°, γ = 103.83°
Fractional positions:
Cu 0.0000 0.0000 0.0000
Cu 0.1299 0.8701 0.5000
Cu 0.2703 0.7297 0.0000
Cu 0.7297 0.2703 0.0000
Cu 0.8701 0.1299 0.5000
Pd 0.1574 0.4530 0.3371
Pd 0.3069 0.3069 0.8370
Pd 0.4530 0.1574 0.3371
Pd 0.5470 0.8426 0.6629
Pd 0.6931 0.6931 0.1630
Pd 0.8426 0.5470 0.6629